A plane-wave DFT calculation with PBE-GGA was carried out for a relaxed structure of Cs8AgAu2S.

extended XYZ file:
```
12
Lattice="8.664 0.025 -0.006 0.087 8.611 -0.010 0.007 0.013 10.772" Properties=species:S:1:pos:R:3 pbc="T T T"
Ag 0.003 0.006 5.386
Cs 5.964 6.064 5.375
Cs 7.092 1.780 8.343
Cs 1.667 6.869 2.414
Cs 7.088 1.773 2.416
Cs 2.795 2.585 5.381
Cs 6.225 6.302 -0.011
Cs 2.533 2.348 10.768
Cs 1.671 6.876 8.340
Au 4.378 4.322 2.601
Au 4.381 4.328 8.155
S 0.000 0.000 0.000
```

Output
Space-group type: P2/m
Raw total energy (eV/atom): -2.022

---

A plane-wave DFT calculation with PBE-GGA was carried out for a relaxed structure of PmNdSc.

extended XYZ file:
```
6
Lattice="-1.438 3.659 -3.105 -3.155 0.099 1.578 3.625 7.196 6.801" Properties=species:S:1:pos:R:3 pbc="T T T"
Pm -0.744 2.345 0.302
Pm -1.111 8.047 3.154
Nd -2.409 5.477 0.724
Nd 0.553 4.915 2.733
Sc 0.012 10.281 5.262
Sc 1.759 7.308 4.993
```

Output
Energy relative to the lowest polymorph listed for this composition (meV per atom): 4.3
Space-group type: Pmmn
Formation energy (eV per atom): 0.063
Raw total energy (eV/atom): -5.220

---

A plane-wave DFT calculation with PBE-GGA was carried out for a relaxed structure of Ca2BiPt2.

extended XYZ file:
```
5
Lattice="5.692 0.000 0.000 0.000 5.692 0.000 2.846 2.846 4.022" Properties=species:S:1:pos:R:3 pbc="T T T"
Pt 5.692 5.692 2.761
Pt 2.846 2.846 1.262
Bi 0.000 0.000 0.000
Ca 2.846 5.692 2.011
Ca 5.692 2.846 2.011
```

Output
Energy relative to the lowest polymorph listed for this composition (meV per atom): 206.6
Space-group type: I4/mmm
Formation energy (eV per atom): -0.647
Raw total energy (eV/atom): -4.640

---

A plane-wave DFT calculation with PBE-GGA was carried out for a relaxed structure of Nb2AlHg.

extended XYZ file:
```
4
Lattice="0.000 3.315 3.315 3.315 0.000 3.315 3.315 3.315 0.000" Properties=species:S:1:pos:R:3 pbc="T T T"
Al 0.000 0.000 0.000
Hg 3.315 3.315 3.315
Nb 4.972 4.972 4.972
Nb 1.657 1.657 1.657
```

Output
Energy relative to the lowest polymorph listed for this composition (meV per atom): 103.6
Space-group type: Fm-3m
Formation energy (eV per atom): 0.206
Raw total energy (eV/atom): -5.840

---

The highest raw total energy belongs to which entry? Cs8AgAu2S

---

What is the raw total energy in the fourth record? -5.840 eV/atom

---

What is the raw total energy in the second record? -5.220 eV/atom

---

Look up the raw total energy of the first one. -2.022 eV/atom